#w
Below is a relaxed structure of K2CrHg2, with properties calculated at the PBE-GGA level.

Unit cell a=10.082 b=10.082 c=3.486 alpha=90.00 beta=90.00 gamma=90.00
Last column: magnetic moment on the atom in μB.
Atoms (fractional coordinates):
Cr1 0.000 0.000 0.000  4.24
Cr2 0.500 0.500 0.000  4.24
K1 0.315 0.815 0.000  0.00
K2 0.815 0.685 0.000  0.00
K3 0.685 0.185 0.000  0.00
K4 0.185 0.315 0.000  0.00
Hg1 0.109 0.609 0.500  -0.01
Hg2 0.609 0.891 0.500  -0.01
Hg3 0.891 0.391 0.500  -0.01
Hg4 0.391 0.109 0.500  -0.01

---

#x
Below is a relaxed structure of K2CrHg2, with properties calculated at the PBE-GGA level.

Unit cell a=4.407 b=4.407 c=10.478 alpha=77.86 beta=77.86 gamma=90.00
Last column: magnetic moment on the atom in μB.
Atoms (fractional coordinates):
Cr1 0.000 0.000 0.000  4.26
K1 0.394 0.394 0.213  0.01
K2 0.606 0.606 0.787  0.01
Hg1 0.750 0.250 0.500  0.00
Hg2 0.250 0.750 0.500  0.00

---

Most favorable structure: #x. The second most favorable one is 1.4 kJ/mol of atoms above it.

---

#w
Below is a relaxed structure of Li3CrHg, with properties calculated at the PBE-GGA level.

Unit cell a=4.993 b=4.993 c=4.993 alpha=90.00 beta=90.00 gamma=90.00
Last column: magnetic moment on the atom in μB.
Atoms (fractional coordinates):
Cr1 0.000 0.000 0.000  4.20
Hg1 0.500 0.500 0.500  0.02
Li1 0.000 0.500 0.000  0.03
Li2 0.000 0.000 0.500  0.01
Li3 0.500 0.000 0.000  0.03

---

#x
Below is a relaxed structure of Li3CrHg, with properties calculated at the PBE-GGA level.

Unit cell a=4.926 b=4.926 c=4.926 alpha=90.00 beta=90.00 gamma=90.00
Last column: magnetic moment on the atom in μB.
Atoms (fractional coordinates):
Cr1 0.500 0.500 0.500  4.19
Hg1 0.000 0.000 0.000  -0.02
Li1 0.000 0.500 0.000  -0.01
Li2 0.000 0.000 0.500  0.00
Li3 0.500 0.000 0.000  -0.01

---

Most favorable structure: #x. The second most favorable one is 16.3 kJ/mol of atoms above it.

---

#w
Below is a relaxed structure of MgCr2Hg, with properties calculated at the PBE-GGA level.

Unit cell a=3.118 b=3.118 c=6.933 alpha=90.00 beta=90.00 gamma=89.97
Last column: magnetic moment on the atom in μB.
Atoms (fractional coordinates):
Cr1 0.000 0.000 0.050  -2.25
Cr2 0.500 0.500 0.198  2.21
Hg1 0.000 0.000 0.480  -0.01
Mg1 0.500 0.500 0.772  0.00

---

#x
Below is a relaxed structure of MgCr2Hg, with properties calculated at the PBE-GGA level.

Unit cell a=3.378 b=3.378 c=6.448 alpha=90.00 beta=90.00 gamma=90.00
Last column: magnetic moment on the atom in μB.
Atoms (fractional coordinates):
Cr1 0.000 0.000 0.003  3.49
Cr2 0.000 0.000 0.497  3.49
Hg1 0.500 0.500 0.250  -0.01
Mg1 0.500 0.500 0.750  -0.04

---

Most favorable structure: #w. The second most favorable one is 29.7 kJ/mol of atoms above it.

---

#w
Below is a relaxed structure of MnCr3Hg, with properties calculated at the PBE-GGA level.

Unit cell a=4.253 b=4.253 c=4.253 alpha=90.00 beta=90.00 gamma=90.00
Atoms (fractional coordinates):
Cr1 0.000 0.500 0.000
Cr2 0.000 0.000 0.500
Cr3 0.500 0.000 0.000
Mn1 0.000 0.000 0.000
Hg1 0.500 0.500 0.500

---

#x
Below is a relaxed structure of MnCr3Hg, with properties calculated at the PBE-GGA level.

Unit cell a=5.101 b=5.101 c=5.101 alpha=90.00 beta=90.00 gamma=90.00
Last column: magnetic moment on the atom in μB.
Atoms (fractional coordinates):
Cr1 0.000 0.500 0.000  3.83
Cr2 0.000 0.000 0.500  3.96
Cr3 0.500 0.000 0.000  3.64
Mn1 0.500 0.500 0.500  4.35
Hg1 0.000 0.000 0.000  0.10

---

Most favorable structure: #w. The second most favorable one is 66.0 kJ/mol of atoms above it.

---

#w
Below is a relaxed structure of MnCrHg, with properties calculated at the PBE-GGA level.

Unit cell a=5.096 b=5.096 c=3.284 alpha=71.20 beta=71.20 gamma=37.60
Last column: magnetic moment on the atom in μB.
Atoms (fractional coordinates):
Cr1 0.020 0.020 0.980  3.17
Hg1 0.333 0.333 0.667  0.02
Mn1 0.647 0.647 0.353  -3.32

---

#x
Below is a relaxed structure of MnCrHg, with properties calculated at the PBE-GGA level.

Unit cell a=4.363 b=4.363 c=4.363 alpha=60.00 beta=60.00 gamma=60.00
Last column: magnetic moment on the atom in μB.
Atoms (fractional coordinates):
Cr1 0.000 0.000 0.000  -3.51
Hg1 0.500 0.500 0.500  0.00
Mn1 0.250 0.250 0.250  3.42

---

Most favorable structure: #w. The second most favorable one is 37.2 kJ/mol of atoms above it.

---

#w
Below is a relaxed structure of MnCrHg, with properties calculated at the PBE-GGA level.

Unit cell a=4.424 b=4.424 c=2.903 alpha=90.00 beta=90.00 gamma=120.00
Last column: magnetic moment on the atom in μB.
Atoms (fractional coordinates):
Cr1 0.000 0.000 0.898  -3.25
Hg1 0.667 0.333 0.342  -0.01
Mn1 0.333 0.667 0.760  3.19

---

#x
Below is a relaxed structure of MnCrHg, with properties calculated at the PBE-GGA level.

Unit cell a=2.984 b=2.984 c=6.384 alpha=90.00 beta=90.00 gamma=120.00
Last column: magnetic moment on the atom in μB.
Atoms (fractional coordinates):
Cr1 0.000 0.000 0.960  -2.39
Hg1 0.667 0.333 0.336  -0.01
Mn1 0.333 0.667 0.705  2.74

---

Most favorable structure: #w. The second most favorable one is 1.6 kJ/mol of atoms above it.

---

#w
Below is a relaxed structure of MnCr2Hg2, with properties calculated at the PBE-GGA level.

Unit cell a=7.791 b=7.791 c=3.185 alpha=90.00 beta=90.00 gamma=90.00
Last column: magnetic moment on the atom in μB.
Atoms (fractional coordinates):
Cr1 0.367 0.867 0.000  3.57
Cr2 0.867 0.633 0.000  3.57
Cr3 0.633 0.133 0.000  3.57
Cr4 0.133 0.367 0.000  3.57
Mn1 0.000 0.000 0.000  4.12
Mn2 0.500 0.500 0.000  4.12
Hg1 0.166 0.666 0.500  0.01
Hg2 0.666 0.834 0.500  0.01
Hg3 0.834 0.334 0.500  0.01
Hg4 0.334 0.166 0.500  0.01

---

#x
Below is a relaxed structure of MnCr2Hg2, with properties calculated at the PBE-GGA level.

Unit cell a=4.088 b=4.088 c=6.268 alpha=70.97 beta=70.97 gamma=90.00
Last column: magnetic moment on the atom in μB.
Atoms (fractional coordinates):
Cr1 0.419 0.419 0.163  -0.46
Cr2 0.581 0.581 0.837  -0.46
Mn1 0.000 0.000 0.000  3.89
Hg1 0.750 0.250 0.500  -0.03
Hg2 0.250 0.750 0.500  -0.03

---

Most favorable structure: #w. The second most favorable one is 10.7 kJ/mol of atoms above it.

---

#w
Below is a relaxed structure of Mn2CrHgP, with properties calculated at the PBE-GGA level.

Unit cell a=4.427 b=5.064 c=4.427 alpha=90.00 beta=90.00 gamma=90.00
Last column: magnetic moment on the atom in μB.
Atoms (fractional coordinates):
Cr1 0.000 0.000 0.000  -2.65
Mn1 0.000 0.000 0.500  3.19
Mn2 0.500 0.000 0.000  3.22
Hg1 0.000 0.500 0.000  -0.04
P1 0.500 0.500 0.500  -0.16

---

#x
Below is a relaxed structure of Mn2CrHgP, with properties calculated at the PBE-GGA level.

Unit cell a=4.930 b=4.861 c=4.930 alpha=90.00 beta=90.00 gamma=90.00
Last column: magnetic moment on the atom in μB.
Atoms (fractional coordinates):
Cr1 0.000 0.500 0.000  -0.21
Mn1 0.000 0.000 0.500  4.24
Mn2 0.500 0.000 0.000  3.99
Hg1 0.000 0.000 0.000  -0.02
P1 0.500 0.500 0.500  -0.06

---

Most favorable structure: #w. The second most favorable one is 53.8 kJ/mol of atoms above it.